Entry 1:
The following is a PBE-GGA calculation of a relaxed structure of NaLi2Pb2, from the Alexandria database.

The structure in extended XYZ format:
```
5
Lattice="-1.891 3.637 0.980 -3.344 -1.117 -2.309 -5.545 -1.804 5.057" Properties=species:S:1:pos:R:3 pbc="T T T"
Pb -3.251 0.597 0.573
Pb -7.530 0.119 3.154
Na 0.000 0.000 0.000
Li -5.027 1.546 2.686
Li -5.754 -0.831 1.041
```

Properties
Energy relative to the lowest polymorph listed for this composition in meV per atom: 107
Volume in Å³/atom: 25.30
Energy relative to the elements in meV per atom: -119
Symmetry: I4/mmm (139)
N(E_F) in states/eV/atom: 0.359


Entry 2:
The following is a PBE-GGA calculation of a relaxed structure of Na2LiPb2, from the Alexandria database.

The structure in extended XYZ format:
```
10
Lattice="5.645 0.000 0.000 -2.822 5.997 -0.070 0.000 -2.852 7.968" Properties=species:S:1:pos:R:3 pbc="T T T"
Na 1.911 1.937 1.155
Na -0.912 2.633 2.759
Na 0.912 1.207 6.743
Na 3.734 0.511 5.139
Li 3.921 -0.713 1.992
Li 1.723 -2.139 5.976
Pb 1.831 3.345 4.345
Pb 4.654 -1.627 7.537
Pb 0.991 -0.201 3.553
Pb -1.831 4.772 0.361
```

Properties
Energy relative to the lowest polymorph listed for this composition in meV per atom: 0
Volume in Å³/atom: 26.86
Energy relative to the elements in meV per atom: -157
Symmetry: C2/c (15)
N(E_F) in states/eV/atom: 0.410